A plane-wave DFT calculation with GGA-PBEsol was carried out for a relaxed structure of Co2IrSe.

Unit cell a=2.867 b=4.190 c=4.359 alpha=90.00 beta=90.00 gamma=90.00
Atoms (fractional coordinates):
Ir1 0.500 0.500 0.000
Co1 0.500 0.000 0.500
Co2 0.000 0.000 0.000
Se1 0.000 0.500 0.500

Calculated values
- DFT total energy (eV per atom) = -6.872